1.
Ba2Tl GGA-PBEsol relaxed; calculated volume = 138 Å³/f.u.; SG = No. 12; formation enthalpy at 0 K = -0.2721 eV per atom; electronic total energy = -2.581 eV/atom
1.0
7.6247 -2.1950 0.0000
7.6247 2.1950 0.0000
-5.9456 0.0000 8.2519
Ba Tl
4 2
direct
0.0877 0.0877 0.3817
0.3330 0.3330 0.9238
0.6670 0.6670 0.0762
0.9123 0.9123 0.6183
0.3776 0.3776 0.3227
0.6224 0.6224 0.6773

2.
BaTl4 GGA-PBEsol relaxed; calculated volume = 154 Å³/f.u.; SG = No. 87; formation enthalpy at 0 K = -0.2500 eV per atom; electronic total energy = -2.784 eV/atom
1.0
-3.9050 3.9050 2.5198
3.9050 -3.9050 2.5198
3.9050 3.9050 -2.5198
Ba Tl
1 4
direct
0.0000 0.0000 0.0000
0.1909 0.4284 0.6193
0.4284 0.8091 0.2374
0.5716 0.1909 0.7626
0.8091 0.5716 0.3807

3.
BaTl GGA-PBEsol relaxed; calculated volume = 77 Å³/f.u.; SG = No. 44; formation enthalpy at 0 K = -0.3450 eV per atom; electronic total energy = -2.735 eV/atom
1.0
-2.4690 6.3104 3.6916
2.4690 -6.3104 3.6916
2.4690 6.3104 -3.6916
Ba Tl
3 3
direct
0.0000 0.0000 0.0000
0.0985 0.7876 0.3109
0.4767 0.7876 0.6891
0.5084 0.5084 0.0000
0.6173 0.2387 0.3786
0.8601 0.2387 0.6214

4.
BaTl4 GGA-PBEsol relaxed; calculated volume = 163 Å³/f.u.; SG = No. 217; formation enthalpy at 0 K = -0.2052 eV per atom; electronic total energy = -2.739 eV/atom
1.0
-5.4581 5.4581 5.4581
5.4581 -5.4581 5.4581
5.4581 5.4581 -5.4581
Ba Tl
4 16
direct
0.0000 0.0000 0.4349
0.0000 0.4349 0.0000
0.4349 0.0000 0.0000
0.5651 0.5651 0.5651
0.0000 0.0000 0.7902
0.0000 0.3480 0.3480
0.0000 0.6520 0.6520
0.0000 0.7902 0.0000
0.2098 0.2098 0.2098
0.2500 0.5000 0.7500
0.2500 0.7500 0.5000
0.3480 0.0000 0.3480
0.3480 0.3480 0.0000
0.5000 0.2500 0.7500
0.5000 0.7500 0.2500
0.6520 0.0000 0.6520
0.6520 0.6520 0.0000
0.7500 0.2500 0.5000
0.7500 0.5000 0.2500
0.7902 0.0000 0.0000

5.
Ba5Tl GGA-PBEsol relaxed; calculated volume = 292 Å³/f.u.; SG = No. 38; formation enthalpy at 0 K = -0.0897 eV per atom; electronic total energy = -2.319 eV/atom
1.0
6.3610 0.0000 0.0000
0.0000 2.3242 9.8597
0.0000 -2.3242 9.8597
Ba Tl
5 1
direct
0.0000 0.0000 0.0000
0.0000 0.2810 0.2810
0.5000 0.1413 0.1413
0.5000 0.4720 0.4720
0.5000 0.8114 0.8114
0.0000 0.6404 0.6404

6.
Ba5Tl GGA-PBEsol relaxed; calculated volume = 309 Å³/f.u.; SG = No. 123; formation enthalpy at 0 K = -0.1382 eV per atom; electronic total energy = -2.367 eV/atom
1.0
4.2533 0.0000 0.0000
0.0000 4.2533 0.0000
0.0000 0.0000 17.0576
Ba Tl
5 1
direct
0.0000 0.0000 0.0000
0.0000 0.0000 0.3844
0.0000 0.0000 0.6156
0.5000 0.5000 0.1864
0.5000 0.5000 0.8136
0.5000 0.5000 0.5000

7.
BaTl2 GGA-PBEsol relaxed; calculated volume = 96 Å³/f.u.; SG = No. 63; formation enthalpy at 0 K = -0.3738 eV per atom; electronic total energy = -2.844 eV/atom
1.0
2.4880 -7.2574 0.0000
2.4880 7.2574 0.0000
0.0000 0.0000 5.3339
Ba Tl
2 4
direct
0.0905 0.9095 0.7500
0.9095 0.0905 0.2500
0.2477 0.7523 0.2500
0.3910 0.6090 0.7500
0.6090 0.3910 0.2500
0.7523 0.2477 0.7500

8.
Ba2Tl GGA-PBEsol relaxed; calculated volume = 129 Å³/f.u.; SG = No. 189; formation enthalpy at 0 K = -0.3078 eV per atom; electronic total energy = -2.617 eV/atom
1.0
8.9311 0.0000 0.0000
-4.4656 7.7346 0.0000
0.0000 0.0000 5.6201
Ba Tl
6 3
direct
0.0000 0.4147 0.0000
0.0000 0.7444 0.5000
0.2556 0.2556 0.5000
0.4147 0.0000 0.0000
0.5853 0.5853 0.0000
0.7444 0.0000 0.5000
0.0000 0.0000 0.0000
0.3333 0.6667 0.5000
0.6667 0.3333 0.5000

9.
BaTl GGA-PBEsol relaxed; calculated volume = 72 Å³/f.u.; SG = No. 74; formation enthalpy at 0 K = -0.3792 eV per atom; electronic total energy = -2.769 eV/atom
1.0
-2.0735 2.8986 5.9786
2.0735 -2.8986 5.9786
2.0735 2.8986 -5.9786
Ba Tl
2 2
direct
0.3492 0.0992 0.2500
0.6508 0.9008 0.7500
0.0934 0.3434 0.7500
0.9066 0.6566 0.2500

10.
Ba5Tl GGA-PBEsol relaxed; calculated volume = 306 Å³/f.u.; SG = No. 12; formation enthalpy at 0 K = -0.1531 eV per atom; electronic total energy = -2.382 eV/atom
1.0
7.3966 -2.1673 0.0000
7.3966 2.1673 0.0000
-4.0090 0.0000 9.5373
Ba Tl
5 1
direct
0.0000 0.0000 0.0000
0.3388 0.3388 0.2222
0.3680 0.3680 0.6307
0.6320 0.6320 0.3693
0.6612 0.6612 0.7778
0.0000 0.0000 0.5000

11.
BaTl2 GGA-PBEsol relaxed; calculated volume = 96 Å³/f.u.; SG = No. 227; formation enthalpy at 0 K = -0.3824 eV per atom; electronic total energy = -2.852 eV/atom
1.0
0.0000 4.5720 4.5720
4.5720 0.0000 4.5720
4.5720 4.5720 0.0000
Ba Tl
2 4
direct
0.1250 0.1250 0.1250
0.8750 0.8750 0.8750
0.0000 0.5000 0.5000
0.5000 0.0000 0.5000
0.5000 0.5000 0.0000
0.5000 0.5000 0.5000

12.
BaTlW2 GGA-PBEsol relaxed; calculated volume = 89 Å³/f.u.; SG = No. 123; formation enthalpy at 0 K = 1.6964 eV per atom; electronic total energy = -6.402 eV/atom
1.0
4.2642 0.0000 0.0000
0.0000 4.2642 0.0000
0.0000 0.0000 4.8870
Ba Tl W
1 1 2
direct
0.0000 0.0000 0.0000
0.5000 0.5000 0.0000
0.0000 0.5000 0.5000
0.5000 0.0000 0.5000

13.
BaTlW2 GGA-PBEsol relaxed; calculated volume = 86 Å³/f.u.; SG = No. 47; formation enthalpy at 0 K = 1.4950 eV per atom; electronic total energy = -6.604 eV/atom
1.0
2.8978 0.0000 0.0000
0.0000 5.4083 0.0000
0.0000 0.0000 5.5194
Ba Tl W
1 1 2
direct
0.0000 0.0000 0.0000
0.5000 0.0000 0.5000
0.0000 0.5000 0.5000
0.5000 0.5000 0.0000

14.
BaTl2W GGA-PBEsol relaxed; calculated volume = 101 Å³/f.u.; SG = No. 99; formation enthalpy at 0 K = 0.8030 eV per atom; electronic total energy = -4.501 eV/atom
1.0
3.1259 0.0000 0.0000
0.0000 3.1259 0.0000
0.0000 0.0000 10.3343
Ba Tl W
1 2 1
direct
0.0000 0.0000 0.0000
0.0000 0.0000 0.5474
0.5000 0.5000 0.2982
0.5000 0.5000 0.7488

15.
BaTlW2 GGA-PBEsol relaxed; calculated volume = 85 Å³/f.u.; SG = No. 65; formation enthalpy at 0 K = 1.4017 eV per atom; electronic total energy = -6.697 eV/atom
1.0
1.7070 -2.3822 0.0000
1.7070 2.3822 0.0000
0.0000 0.0000 10.5013
Ba Tl W
1 1 2
direct
0.0000 0.0000 0.0000
0.0000 0.0000 0.5000
0.5000 0.5000 0.2806
0.5000 0.5000 0.7194

16.
BaYTl2 GGA-PBEsol relaxed; calculated volume = 124 Å³/f.u.; SG = No. 123; formation enthalpy at 0 K = -0.4461 eV per atom; electronic total energy = -4.004 eV/atom
1.0
3.9190 0.0000 0.0000
0.0000 3.9190 0.0000
0.0000 0.0000 8.0468
Ba Y Tl
1 1 2
direct
0.0000 0.0000 0.0000
0.0000 0.0000 0.5000
0.5000 0.5000 0.2913
0.5000 0.5000 0.7087

17.
BaYTl GGA-PBEsol relaxed; calculated volume = 109 Å³/f.u.; SG = No. 129; formation enthalpy at 0 K = -0.3464 eV per atom; electronic total energy = -4.213 eV/atom
1.0
5.1957 0.0000 0.0000
0.0000 5.1957 0.0000
0.0000 0.0000 8.0688
Ba Y Tl
2 2 2
direct
0.2500 0.2500 0.1359
0.7500 0.7500 0.8641
0.2500 0.7500 0.5000
0.7500 0.2500 0.5000
0.2500 0.2500 0.7122
0.7500 0.7500 0.2878

18.
BaYTl2 GGA-PBEsol relaxed; calculated volume = 124 Å³/f.u.; SG = No. 6; formation enthalpy at 0 K = -0.3129 eV per atom; electronic total energy = -3.871 eV/atom
1.0
3.7666 0.0000 0.0000
0.0000 5.4460 0.0000
-0.0053 0.0000 6.0259
Ba Y Tl
1 1 2
direct
0.0000 0.0000 0.0000
0.0024 0.5000 0.5660
0.5004 0.5000 0.1324
0.5007 0.0000 0.5070

19.
BaYTl GGA-PBEsol relaxed; calculated volume = 116 Å³/f.u.; SG = No. 216; formation enthalpy at 0 K = 0.0061 eV per atom; electronic total energy = -3.861 eV/atom
1.0
0.0000 3.8746 3.8746
3.8746 0.0000 3.8746
3.8746 3.8746 0.0000
Ba Y Tl
1 1 1
direct
0.0000 0.0000 0.0000
0.5000 0.5000 0.5000
0.7500 0.7500 0.7500

20.
BaYTl2Zn GGA-PBEsol relaxed; calculated volume = 193 Å³/f.u.; SG = No. 123; formation enthalpy at 0 K = 0.8500 eV per atom; electronic total energy = -2.313 eV/atom
1.0
5.9518 0.0000 0.0000
0.0000 5.9518 0.0000
0.0000 0.0000 5.4455
Ba Y Tl Zn
1 1 2 1
direct
0.0000 0.0000 0.0000
0.5000 0.5000 0.5000
0.0000 0.5000 0.0000
0.5000 0.0000 0.0000
0.0000 0.0000 0.5000